Ca2MgPt2: optimized geometry, PBE-GGA.

Cell: 5.818 5.818 8.099 Å, 102.58 102.58 58.44°
Sites, in units of the cell vectors:
Ca 0.006 0.293 0.148
Ca 0.293 0.006 0.648
Ca 0.707 0.994 0.352
Ca 0.994 0.707 0.852
Mg 0.375 0.625 0.250
Mg 0.625 0.375 0.750
Pt 0.225 0.506 0.493
Pt 0.494 0.775 0.007
Pt 0.506 0.225 0.993
Pt 0.775 0.494 0.507



CaMg2Pt2: optimized geometry, PBE-GGA.

Cell: 7.884 7.884 2.994 Å, 90.00 90.00 90.00°
Sites, in units of the cell vectors:
Ca 0.000 0.000 0.000
Ca 0.500 0.500 0.000
Mg 0.125 0.375 0.000
Mg 0.375 0.875 0.000
Mg 0.625 0.125 0.000
Mg 0.875 0.625 0.000
Pt 0.171 0.671 0.500
Pt 0.329 0.171 0.500
Pt 0.671 0.829 0.500
Pt 0.829 0.329 0.500



Ca8MgPt2: optimized geometry, PBE-GGA.

Cell: 8.192 8.192 5.811 Å, 97.02 97.02 111.66°
Sites, in units of the cell vectors:
Ca 0.000 0.000 0.000
Ca 0.056 0.325 0.629
Ca 0.135 0.639 0.211
Ca 0.325 0.056 0.629
Ca 0.448 0.718 0.792
Ca 0.639 0.135 0.211
Ca 0.718 0.448 0.792
Ca 0.774 0.774 0.422
Mg 0.388 0.388 0.210
Pt 0.071 0.702 0.711
Pt 0.702 0.071 0.711



Ca8Mg2Pt: optimized geometry, PBE-GGA.

Cell: 10.112 10.112 7.238 Å, 108.61 108.61 32.23°
Sites, in units of the cell vectors:
Ca 0.018 0.018 0.289
Ca 0.208 0.208 0.789
Ca 0.359 0.359 0.547
Ca 0.408 0.408 0.086
Ca 0.592 0.592 0.914
Ca 0.641 0.641 0.453
Ca 0.792 0.792 0.211
Ca 0.982 0.982 0.711
Mg 0.183 0.183 0.227
Mg 0.817 0.817 0.773
Pt 0.500 0.500 0.500



Ca3MgPt8: optimized geometry, PBE-GGA.

Cell: 9.347 9.347 9.347 Å, 33.77 33.77 33.77°
Sites, in units of the cell vectors:
Ca 0.000 0.000 0.000
Ca 0.127 0.127 0.127
Ca 0.622 0.622 0.622
Mg 0.499 0.499 0.499
Pt 0.062 0.062 0.560
Pt 0.062 0.560 0.062
Pt 0.066 0.562 0.562
Pt 0.312 0.312 0.312
Pt 0.560 0.062 0.062
Pt 0.562 0.066 0.562
Pt 0.562 0.562 0.066
Pt 0.813 0.813 0.813



Ca3Mg7Pt4: optimized geometry, PBE-GGA.

Cell: 8.497 8.497 10.447 Å, 123.44 123.44 29.45°
Sites, in units of the cell vectors:
Ca 0.000 0.000 0.000
Ca 0.306 0.306 0.291
Ca 0.694 0.694 0.709
Mg 0.000 0.000 0.500
Mg 0.170 0.170 0.427
Mg 0.315 0.315 0.980
Mg 0.489 0.489 0.717
Mg 0.511 0.511 0.283
Mg 0.685 0.685 0.020
Mg 0.830 0.830 0.573
Pt 0.109 0.109 0.817
Pt 0.333 0.333 0.732
Pt 0.667 0.667 0.268
Pt 0.891 0.891 0.183



Ca2MgPt2: optimized geometry, PBE-GGA.

Cell: 5.715 5.715 5.715 Å, 135.35 118.38 79.24°
Sites, in units of the cell vectors:
Ca 0.200 0.200 0.000
Ca 0.800 0.800 0.000
Mg 0.500 0.000 0.500
Pt 0.233 0.500 0.733
Pt 0.767 0.500 0.267



Ca4MgPt2: optimized geometry, PBE-GGA.

Cell: 8.199 8.199 8.199 Å, 139.61 139.61 58.45°
Sites, in units of the cell vectors:
Ca 0.000 0.500 0.500
Ca 0.219 0.219 0.000
Ca 0.500 0.000 0.500
Ca 0.781 0.781 0.000
Mg 0.000 0.000 0.000
Pt 0.407 0.407 0.000
Pt 0.593 0.593 0.000



CaMg2Pt2: optimized geometry, PBE-GGA.

Cell: 6.667 6.667 6.667 Å, 143.44 143.44 52.66°
Sites, in units of the cell vectors:
Ca 0.000 0.000 0.000
Mg 0.250 0.750 0.500
Mg 0.750 0.250 0.500
Pt 0.390 0.390 0.000
Pt 0.610 0.610 0.000



CaMg10Pt3: optimized geometry, PBE-GGA.

Cell: 9.660 9.660 9.660 Å, 60.00 60.00 60.00°
Sites, in units of the cell vectors:
Ca 0.250 0.250 0.250
Ca 0.750 0.750 0.750
Mg 0.000 0.000 0.337
Mg 0.000 0.000 0.663
Mg 0.000 0.337 0.000
Mg 0.000 0.337 0.663
Mg 0.000 0.663 0.000
Mg 0.000 0.663 0.337
Mg 0.166 0.611 0.611
Mg 0.337 0.000 0.000
Mg 0.337 0.000 0.663
Mg 0.337 0.663 0.000
Mg 0.389 0.389 0.389
Mg 0.389 0.389 0.834
Mg 0.389 0.834 0.389
Mg 0.611 0.166 0.611
Mg 0.611 0.611 0.166
Mg 0.611 0.611 0.611
Mg 0.663 0.000 0.000
Mg 0.663 0.000 0.337
Mg 0.663 0.337 0.000
Mg 0.834 0.389 0.389
Pt 0.266 0.266 0.734
Pt 0.266 0.734 0.266
Pt 0.266 0.734 0.734
Pt 0.734 0.266 0.266
Pt 0.734 0.266 0.734
Pt 0.734 0.734 0.266



RbCa2MgPt: optimized geometry, PBE-GGA.

Cell: 5.732 5.732 5.368 Å, 90.00 90.00 90.00°
Sites, in units of the cell vectors:
Rb 0.000 0.000 0.000
Ca 0.000 0.500 0.500
Ca 0.500 0.000 0.500
Mg 0.500 0.500 0.000
Pt 0.500 0.500 0.500



RbCaMg2Pt: optimized geometry, PBE-GGA.

Cell: 5.326 5.326 5.573 Å, 90.00 90.00 90.00°
Sites, in units of the cell vectors:
Rb 0.000 0.000 0.000
Ca 0.500 0.500 0.000
Mg 0.000 0.500 0.500
Mg 0.500 0.000 0.500
Pt 0.500 0.500 0.500



| no. | calculated density (g/cm³) | magnetization (μB per formula unit) | formation energy (meV/atom) |
| --- | --- | --- | --- |
| 1 | 7.26 | 0.00 | -888.8 |
| 2 | 8.55 | 0.00 | -781.1 |
| 3 | 3.45 | 0.00 | -436.8 |
| 4 | 2.52 | 0.00 | -209.1 |
| 5 | 12.60 | 0.00 | -861.7 |
| 6 | 5.84 | 0.00 | -695.1 |
| 7 | 7.34 | 0.00 | -896.1 |
| 8 | 4.16 | 0.00 | -66.3 |
| 9 | 7.61 | 0.00 | -807.6 |
| 10 | 4.52 | 0.00 | -454.4 |
| 11 | 3.63 | 0.00 | -341.5 |
| 12 | 3.88 | 0.00 | -320.0 |